A plane-wave DFT calculation with PBE was carried out for a relaxed structure of AgSeI6.

a = 7.7963 Å, b = 7.7963 Å, c = 7.7963 Å
α = 60.00°, β = 60.00°, γ = 60.00°
With the nearest neighbours (Å) after each atom.
Element x y z (fractional)
Ag: 0.0000 0.0000 0.0000  12 I 3.90
I: 0.4969 0.0031 0.0031  1 Se 2.79
I: 0.0031 0.4969 0.0031  1 Se 2.79
I: 0.4969 0.4969 0.0031  1 Se 2.79
I: 0.0031 0.0031 0.4969  1 Se 2.79
I: 0.4969 0.0031 0.4969  1 Se 2.79
I: 0.0031 0.4969 0.4969  1 Se 2.79
Se: 0.7500 0.7500 0.7500  6 I 2.79

Values from the calculation:
**Mass density**: 4.70 g/cm3
**Calculated volume**: 41.88 A^3/atom
**Electronic total energy**: -0.125 Ry per atom
**Space-group type**: F-43m (216)